No. 1
A plane-wave DFT calculation with GGA-PBE was carried out for crystalline Pa3Fe5Se12 at its relaxed geometry.

Calculated values
Final energy, eV per atom: -6.29

Lattice parameters (Å, degrees): 13.1775 13.1775 13.1775 109.47 109.47 109.47
Last column: magnetic moment on the atom in μB.
Positions (direct):
Pa1 0.7500 0.3750 0.1250  0.09
Pa2 0.8750 0.7500 0.1250  0.09
Pa3 0.3750 0.7500 0.6250  0.09
Pa4 0.2500 0.1250 0.3750  0.09
Pa5 0.8750 0.1250 0.2500  0.09
Pa6 0.3750 0.6250 0.2500  0.09
Pa7 0.6250 0.3750 0.7500  0.09
Pa8 0.1250 0.8750 0.7500  0.09
Pa9 0.7500 0.8750 0.6250  0.09
Pa10 0.6250 0.2500 0.3750  0.09
Pa11 0.1250 0.2500 0.8750  0.09
Pa12 0.2500 0.6250 0.8750  0.09
Fe1 0.1250 0.3750 0.2500  2.76
Fe2 0.0000 0.5000 0.0000  0.68
Fe3 0.0000 0.0000 0.0000  0.68
Fe4 0.3750 0.2500 0.1250  2.76
Fe5 0.5000 0.0000 0.5000  0.68
Fe6 0.5000 0.5000 0.0000  0.68
Fe7 0.1250 0.7500 0.3750  2.76
Fe8 0.7500 0.1250 0.8750  2.76
Fe9 0.7500 0.6250 0.3750  2.76
Fe10 0.3750 0.1250 0.7500  2.76
Fe11 0.6250 0.8750 0.2500  2.76
Fe12 0.5000 0.5000 0.5000  0.68
Fe13 0.5000 0.0000 0.0000  0.68
Fe14 0.0000 0.0000 0.5000  0.68
Fe15 0.2500 0.3750 0.6250  2.76
Fe16 0.2500 0.8750 0.1250  2.76
Fe17 0.0000 0.5000 0.5000  0.68
Fe18 0.8750 0.2500 0.6250  2.76
Fe19 0.6250 0.7500 0.8750  2.76
Fe20 0.8750 0.6250 0.7500  2.76
Se1 0.7049 0.1172 0.0312  0.03
Se2 0.3263 0.5312 0.4141  0.03
Se3 0.9688 0.3828 0.2951  0.03
Se4 0.5312 0.2049 0.1172  0.03
Se5 0.5877 0.7049 0.6737  0.03
Se6 0.9688 0.5859 0.1737  0.03
Se7 0.3263 0.7951 0.4123  0.03
Se8 0.0859 0.9123 0.1172  0.03
Se9 0.5859 0.9688 0.6737  0.03
Se10 0.7049 0.5877 0.1737  0.03
Se11 0.7951 0.4688 0.3828  0.03
Se12 0.8263 0.9141 0.0312  0.03
Se13 0.1172 0.7049 0.5312  0.03
Se14 0.3828 0.4141 0.0877  0.03
Se15 0.0877 0.9141 0.3828  0.03
Se16 0.4123 0.1172 0.5859  0.03
Se17 0.0877 0.1737 0.2049  0.03
Se18 0.4688 0.6737 0.0859  0.03
Se19 0.8263 0.9123 0.2951  0.03
Se20 0.1172 0.4123 0.0859  0.03
Se21 0.3828 0.9688 0.7951  0.03
Se22 0.5859 0.6172 0.4123  0.03
Se23 0.9141 0.8263 0.5312  0.03
Se24 0.7951 0.3263 0.9123  0.03
Se25 0.4141 0.3828 0.5877  0.03
Se26 0.0859 0.1737 0.4688  0.03
Se27 0.2049 0.6737 0.0877  0.03
Se28 0.1737 0.0877 0.7049  0.03
Se29 0.6172 0.0312 0.2049  0.03
Se30 0.8828 0.5877 0.9141  0.03
Se31 0.5312 0.3263 0.9141  0.03
Se32 0.5877 0.8828 0.4141  0.03
Se33 0.9123 0.8263 0.7951  0.03
Se34 0.9123 0.0859 0.6172  0.03
Se35 0.8828 0.2951 0.4688  0.03
Se36 0.1737 0.0859 0.9688  0.03
Se37 0.6172 0.5859 0.9123  0.03
Se38 0.4141 0.0312 0.3263  0.03
Se39 0.2951 0.4123 0.8263  0.03
Se40 0.2049 0.5312 0.6172  0.03
Se41 0.9141 0.0877 0.8828  0.03
Se42 0.6737 0.2049 0.5877  0.03
Se43 0.4688 0.7951 0.8828  0.03
Se44 0.0312 0.4141 0.8263  0.03
Se45 0.4123 0.2951 0.3263  0.03
Se46 0.0312 0.6172 0.7049  0.03
Se47 0.6737 0.4688 0.5859  0.03
Se48 0.2951 0.8828 0.9688  0.03


No. 2
A plane-wave DFT calculation with GGA-PBE was carried out for crystalline NpPd3Pt4 at its relaxed geometry.

Calculated values
ΔH_f (0 K), meV/atom: -325

Lattice parameters (Å, degrees): 4.9850 5.7262 9.3160 90.00 90.00 90.00
Last column: magnetic moment on the atom in μB.
Positions (direct):
Np1 0.0000 0.5000 0.0000  2.90
Np2 0.0000 0.5000 0.5000  2.90
Pt1 0.5000 0.7526 0.0000  -0.13
Pt2 0.5000 0.7526 0.5000  -0.13
Pt3 0.5000 0.2474 0.0000  -0.13
Pt4 0.5000 0.2474 0.5000  -0.13
Pt5 0.1707 0.7576 0.7500  -0.13
Pt6 0.8293 0.7576 0.2500  -0.13
Pt7 0.8293 0.2424 0.2500  -0.13
Pt8 0.1707 0.2424 0.7500  -0.13
Pd1 0.0000 0.0000 0.0000  -0.07
Pd2 0.0000 0.0000 0.5000  -0.07
Pd3 0.6786 0.0000 0.7500  -0.04
Pd4 0.3214 0.0000 0.2500  -0.04
Pd5 0.6486 0.5000 0.7500  -0.06
Pd6 0.3514 0.5000 0.2500  -0.06


No. 3
A plane-wave DFT calculation with GGA-PBE was carried out for crystalline RbMgSb2Pb at its relaxed geometry.

Calculated values
Final energy, eV per atom: -3.18

Lattice parameters (Å, degrees): 4.9599 4.9599 8.4714 107.02 107.02 90.00
Positions (direct):
Rb1 0.0000 0.0000 0.0000
Mg1 0.2500 0.7500 0.5000
Sb1 0.6371 0.6371 0.2742
Sb2 0.3629 0.3629 0.7258
Pb1 0.7500 0.2500 0.5000


No. 4
A plane-wave DFT calculation with GGA-PBE was carried out for crystalline Ga5IrPd2 at its relaxed geometry.

Calculated values
ΔH_f (0 K), meV/atom: -293

Lattice parameters (Å, degrees): 4.6912 6.4752 10.6829 90.00 90.00 111.24
Positions (direct):
Ga1 0.9903 0.9807 0.8753
Ga2 0.9903 0.9807 0.6247
Ga3 0.3605 0.7210 0.3834
Ga4 0.3605 0.7210 0.1166
Ga5 0.7228 0.4456 0.2500
Ga6 0.2772 0.5544 0.7500
Ga7 0.6395 0.2790 0.6166
Ga8 0.6395 0.2790 0.8834
Ga9 0.0097 0.0193 0.1247
Ga10 0.0097 0.0193 0.3753
Ir1 0.8190 0.6381 0.7500
Ir2 0.1810 0.3619 0.2500
Pd1 0.8218 0.6437 0.4770
Pd2 0.8218 0.6437 0.0230
Pd3 0.1782 0.3563 0.5230
Pd4 0.1782 0.3563 0.9770


No. 5
A plane-wave DFT calculation with GGA-PBE was carried out for crystalline DyGa2SiTc2 at its relaxed geometry.

Calculated values
Final energy, eV per atom: -6.40

Lattice parameters (Å, degrees): 4.4966 4.4966 5.5318 90.00 90.00 90.00
Positions (direct):
Dy1 0.0000 0.0000 0.5000
Ga1 0.5000 0.5000 0.7340
Ga2 0.5000 0.5000 0.2660
Si1 0.0000 0.0000 0.0000
Tc1 0.5000 0.0000 0.0000
Tc2 0.0000 0.5000 0.0000


No. 6
A plane-wave DFT calculation with GGA-PBE was carried out for crystalline TiSnMo3 at its relaxed geometry.

Calculated values
ΔH_f (0 K), meV/atom: 1274

Lattice parameters (Å, degrees): 4.6072 4.6072 4.6072 90.00 90.00 90.00
Positions (direct):
Mo1 0.0000 0.5000 0.0000
Mo2 0.0000 0.0000 0.5000
Mo3 0.5000 0.0000 0.0000
Sn1 0.5000 0.5000 0.5000
Ti1 0.0000 0.0000 0.0000


No. 7
A plane-wave DFT calculation with GGA-PBE was carried out for crystalline SrHg2W at its relaxed geometry.

Calculated values
ΔH_f (0 K), meV/atom: 630

Lattice parameters (Å, degrees): 3.0516 3.0516 9.8110 90.00 90.00 89.95
Positions (direct):
Hg1 0.0000 0.0000 0.9833
Hg2 0.5000 0.5000 0.2378
Sr1 0.0000 0.0000 0.5084
W1 0.5000 0.5000 0.7706


No. 8
A plane-wave DFT calculation with GGA-PBE was carried out for crystalline Sc4InRh at its relaxed geometry.

Calculated values
ΔH_f (0 K), meV/atom: 131

Lattice parameters (Å, degrees): 5.6266 5.6266 5.6266 60.00 60.00 60.00
Positions (direct):
Sc1 0.8779 0.3740 0.3740
Sc2 0.3740 0.3740 0.8779
Sc3 0.3740 0.8779 0.3740
Sc4 0.3740 0.3740 0.3740
In1 0.7500 0.7500 0.7500
Rh1 0.0000 0.0000 0.0000


No. 9
A plane-wave DFT calculation with GGA-PBE was carried out for crystalline ErTm2ScTl4 at its relaxed geometry.

Calculated values
ΔH_f (0 K), meV/atom: -282

Lattice parameters (Å, degrees): 5.2626 5.2626 9.1439 73.28 73.28 60.00
Positions (direct):
Er1 0.0000 0.0000 0.0000
Tm1 0.7510 0.7510 0.7470
Tm2 0.2490 0.2490 0.2530
Sc1 0.5000 0.5000 0.5000
Tl1 0.3765 0.3765 0.8706
Tl2 0.8737 0.8737 0.3789
Tl3 0.1263 0.1263 0.6211
Tl4 0.6235 0.6235 0.1294


No. 10
A plane-wave DFT calculation with GGA-PBE was carried out for crystalline Cd2As2Se at its relaxed geometry.

Calculated values
Final energy, eV per atom: -2.75

Lattice parameters (Å, degrees): 7.6505 7.6505 4.1756 90.00 90.00 90.00
Positions (direct):
As1 0.1095 0.6095 0.5000
As2 0.6095 0.8905 0.5000
As3 0.8905 0.3905 0.5000
As4 0.3905 0.1095 0.5000
Se1 0.0000 0.0000 0.0000
Se2 0.5000 0.5000 0.0000
Cd1 0.3135 0.8135 0.0000
Cd2 0.8135 0.6865 0.0000
Cd3 0.6865 0.1865 0.0000
Cd4 0.1865 0.3135 0.0000


No. 11
A plane-wave DFT calculation with GGA-PBE was carried out for crystalline MgZrFe2 at its relaxed geometry.

Calculated values
ΔH_f (0 K), meV/atom: 234

Lattice parameters (Å, degrees): 4.4865 4.4865 4.4865 60.00 60.00 60.00
Last column: magnetic moment on the atom in μB.
Positions (direct):
Fe1 0.0000 0.0000 0.0000  2.11
Fe2 0.2500 0.2500 0.2500  2.68
Mg1 0.5000 0.5000 0.5000  -0.03
Zr1 0.7500 0.7500 0.7500  -0.30


No. 12
A plane-wave DFT calculation with GGA-PBE was carried out for crystalline Ac2Ho at its relaxed geometry.

Calculated values
ΔH_f (0 K), meV/atom: 399

Lattice parameters (Å, degrees): 7.1183 7.1183 7.1183 60.00 60.00 60.00
Positions (direct):
Ac1 0.1250 0.6250 0.6250
Ac2 0.6250 0.1250 0.6250
Ac3 0.6250 0.6250 0.6250
Ac4 0.6250 0.6250 0.1250
Ho1 0.0000 0.0000 0.0000
Ho2 0.2500 0.2500 0.2500


No. 13
A plane-wave DFT calculation with GGA-PBE was carried out for crystalline Na2ErMnS4 at its relaxed geometry.

Calculated values
Final energy, eV per atom: -5.39

Lattice parameters (Å, degrees): 3.8305 6.4818 7.0014 108.01 90.00 90.00
Last column: magnetic moment on the atom in μB.
Positions (direct):
Na1 0.5000 0.0000 0.5000  0.01
Na2 0.0000 0.5000 0.5000  0.00
Er1 0.0000 0.0000 0.0000  0.04
Mn1 0.5000 0.5000 0.0000  3.75
S1 0.5000 0.2644 0.2153  -0.02
S2 0.5000 0.7356 0.7847  -0.02
S3 0.0000 0.2774 0.7861  -0.01
S4 0.0000 0.7226 0.2139  -0.01


No. 14
A plane-wave DFT calculation with GGA-PBE was carried out for crystalline Pt2WSe at its relaxed geometry.

Calculated values
Final energy, eV per atom: -6.79

Lattice parameters (Å, degrees): 4.9489 4.9489 2.7350 90.00 90.00 90.00
Positions (direct):
Pt1 0.0000 0.0000 0.0000
Pt2 0.5000 0.5000 0.0000
Se1 0.5000 0.0000 0.5000
W1 0.0000 0.5000 0.5000


No. 15
A plane-wave DFT calculation with GGA-PBE was carried out for crystalline Ca2TlRh at its relaxed geometry.

Calculated values
ΔH_f (0 K), meV/atom: -330

Lattice parameters (Å, degrees): 4.3777 4.3320 6.0242 68.96 90.00 90.00
Positions (direct):
Tl1 0.5000 0.5565 0.7624
Rh1 0.0000 0.7034 0.4678
Ca1 0.0000 0.9747 0.9258
Ca2 0.5000 0.2654 0.3440


No. 16
A plane-wave DFT calculation with GGA-PBE was carried out for crystalline LaVN3 at its relaxed geometry.

Calculated values
Final energy, eV per atom: -8.63

Lattice parameters (Å, degrees): 3.6471 6.0287 6.9734 90.00 105.16 90.00
Last column: magnetic moment on the atom in μB.
Positions (direct):
V1 0.9211 0.2500 0.3421  -0.10
V2 0.0789 0.7500 0.6579  -0.10
La1 0.6730 0.2500 0.8460  0.02
La2 0.3270 0.7500 0.1540  0.02
N1 0.8396 0.0264 0.1791  0.11
N2 0.1604 0.9736 0.8209  0.11
N3 0.8396 0.4736 0.1791  0.11
N4 0.1604 0.5264 0.8209  0.11
N5 0.4759 0.2500 0.4516  0.36
N6 0.5241 0.7500 0.5484  0.36


No. 17
A plane-wave DFT calculation with GGA-PBE was carried out for crystalline TmZn4Pd at its relaxed geometry.

Calculated values
ΔH_f (0 K), meV/atom: -389

Lattice parameters (Å, degrees): 3.8445 6.9255 7.9241 90.00 90.00 90.00
Positions (direct):
Tm1 0.0000 0.6140 0.7500
Tm2 0.0000 0.3860 0.2500
Zn1 0.0000 0.0000 0.5000
Zn2 0.0000 0.0000 0.0000
Zn3 0.5000 0.9424 0.7500
Zn4 0.5000 0.0576 0.2500
Zn5 0.5000 0.6892 0.0402
Zn6 0.5000 0.3108 0.9598
Zn7 0.5000 0.6892 0.4598
Zn8 0.5000 0.3108 0.5402
Pd1 0.0000 0.2152 0.7500
Pd2 0.0000 0.7847 0.2500


No. 18
A plane-wave DFT calculation with GGA-PBE was carried out for crystalline KCd5 at its relaxed geometry.

Calculated values
ΔH_f (0 K), meV/atom: -16

Lattice parameters (Å, degrees): 7.1484 7.1484 7.5340 77.31 77.31 25.98
Positions (direct):
Cd1 0.9531 0.9531 0.9690
Cd2 0.7266 0.7266 0.5346
Cd3 0.4117 0.4117 0.3075
Cd4 0.3564 0.3564 0.7263
Cd5 0.0440 0.0440 0.5424
K1 0.6748 0.6748 0.0868


No. 19
A plane-wave DFT calculation with GGA-PBE was carried out for crystalline PrNd5Er at its relaxed geometry.

Calculated values
ΔH_f (0 K), meV/atom: 64

Lattice parameters (Å, degrees): 3.6985 9.5829 14.3420 105.06 90.00 90.00
Positions (direct):
Pr1 0.7500 0.1023 0.1182
Pr2 0.2500 0.8977 0.8818
Nd1 0.2500 0.0104 0.3790
Nd2 0.7500 0.1987 0.8766
Nd3 0.7500 0.3343 0.5084
Nd4 0.2500 0.4091 0.0774
Nd5 0.2500 0.3505 0.7210
Nd6 0.7500 0.6495 0.2790
Nd7 0.7500 0.5909 0.9226
Nd8 0.2500 0.6657 0.4916
Nd9 0.2500 0.8013 0.1234
Nd10 0.7500 0.9896 0.6210
Er1 0.2500 0.3394 0.3030
Er2 0.7500 0.6606 0.6970


No. 20
A plane-wave DFT calculation with GGA-PBE was carried out for crystalline GdBiRh2 at its relaxed geometry.

Calculated values
ΔH_f (0 K), meV/atom: -513

Lattice parameters (Å, degrees): 4.8233 4.8233 4.8233 60.00 60.00 60.00
Last column: magnetic moment on the atom in μB.
Positions (direct):
Gd1 0.0000 0.0000 0.0000  6.97
Rh1 0.2500 0.2500 0.2500  0.06
Rh2 0.7500 0.7500 0.7500  0.06
Bi1 0.5000 0.5000 0.5000  0.00


Number 1: magnetization 43.97 μB/cell. Number 2: magnetization 4.61 μB/cell. Number 3: magnetization 0.00 μB/cell. Number 4: magnetization 0.00 μB/cell. Number 5: magnetization 0.00 μB/cell. Number 6: magnetization 0.00 μB/cell. Number 7: magnetization 0.00 μB/cell. Number 8: magnetization 0.00 μB/cell. Number 9: magnetization 0.00 μB/cell. Number 10: magnetization 0.00 μB/cell. Number 11: magnetization 4.28 μB/cell. Number 12: magnetization 0.00 μB/cell. Number 13: magnetization 4.00 μB/cell. Number 14: magnetization 0.00 μB/cell. Number 15: magnetization 0.00 μB/cell. Number 16: magnetization 1.47 μB/cell. Number 17: magnetization 0.00 μB/cell. Number 18: magnetization 0.00 μB/cell. Number 19: magnetization 0.00 μB/cell. Number 20: magnetization 7.19 μB/cell.